(1)
The following is a GGA-PBE calculation of a relaxed Sc3ReSi crystal, from the Alexandria database.

DOS at the Fermi energy: 6.17 states/eV/f.u.
E_form (uncorrected): 0.690 eV/atom
E: -6.6834 eV/atom

a b c (Å): 4.8520 4.8520 4.8520
angles (deg): 90.00 90.00 90.00
Closest atoms and distances in Å follow each position.
Space group Pm-3m (No. 221)
Asymmetric unit:
Sc (0.0000, 0.0000, 0.5000) x3  2 Si 2.43
Re (0.5000, 0.5000, 0.5000) x1  12 Sc 3.43
Si (0.0000, 0.0000, 0.0000) x1  6 Sc 2.43

=====

(2)
The following is a GGA-PBE calculation of a relaxed Pr2DyTm2 crystal, from the Alexandria database.

DOS at the Fermi energy: 7.59 states/eV/f.u.
E: -4.3290 eV/atom
E_form: 1.5 eV per formula unit

a b c (Å): 6.8790 16.2515 6.2371
angles (deg): 90.00 90.00 90.00
Closest atoms and distances in Å follow each position.
Space group Cmcm (No. 63)
Asymmetric unit:
Pr (0.0000, 0.1006, 0.2500) x4  2 Pr 3.62, 4 Tm 3.77
Pr (0.0000, 0.3295, 0.7500) x4  6 Tm 3.16-3.53, 2 Dy 3.18
Dy (0.0000, 0.5000, 0.0000) x4  2 Dy 3.12, 2 Pr 3.18
Tm (0.2392, 0.3302, 0.2500) x8  3 Pr 3.16-3.53, 1 Tm 3.29

=====

(3)
The following is a GGA-PBE calculation of a relaxed GaTeF2 crystal, from the Alexandria database.

DOS at the Fermi energy: 3.57 states/eV/f.u.
E_form (uncorrected): -1.173 eV/atom
E: -3.6506 eV/atom

a b c (Å): 6.2455 6.2455 8.9035
angles (deg): 90.00 90.00 90.00
Closest atoms and distances in Å follow each position.
Space group I4_1/amd (No. 141, origin choice 2)
Asymmetric unit:
Ga (0.0000, 0.2500, 0.3750) x4  4 F 1.92
Te (0.0000, 0.2500, 0.8750) x4  12 F 3.66-3.69, 4 Te 3.83, 4 Ga 3.83
F (0.0000, 0.0000, 0.5000) x8  2 Ga 1.92

=====

(4)
The following is a GGA-PBE calculation of a relaxed GdErTc4 crystal, from the Alexandria database.

DOS at the Fermi energy: 7.86 states/eV/f.u.
E: -10.1463 eV/atom
E_form: -0.8 eV per formula unit

a b c (Å): 7.6442 7.6442 7.6442
angles (deg): 90.00 90.00 90.00
Closest atoms and distances in Å follow each position.
Space group F-43m (No. 216)
Asymmetric unit:
Gd (0.0000, 0.0000, 0.0000) x4  12 Tc 3.17, 4 Er 3.31
Er (0.2500, 0.2500, 0.7500) x4  12 Tc 3.17, 4 Gd 3.31
Tc (0.1249, 0.1249, 0.3751) x16  6 Tc 2.70

=====

(5)
The following is a GGA-PBE calculation of a relaxed LiScZn4 crystal, from the Alexandria database.

DOS at the Fermi energy: 3.32 states/eV/f.u.
E: -2.4623 eV/atom
E_form: -1.4 eV per formula unit

a b c (Å): 5.9809 4.3626 8.1853
angles (deg): 90.00 111.37 90.00
Closest atoms and distances in Å follow each position.
Space group P2_1/m (No. 11)
Asymmetric unit:
Li (0.1325, 0.2500, 0.2644) x2  12 Zn 2.85-3.01, 2 Sc 3.00
Sc (0.3804, 0.7500, 0.7614) x2  12 Zn 2.93-3.02, 2 Li 3.00
Zn (0.0412, 0.2500, 0.5825) x2  3 Zn 2.52-2.54
Zn (0.1916, 0.2500, 0.9152) x2  4 Zn 2.54-2.80
Zn (0.2774, 0.7500, 0.0850) x2  4 Zn 2.54-2.80
Zn (0.4586, 0.7500, 0.4179) x2  3 Zn 2.51-2.54